## CrFePb2 (PBE)

Data for a relaxed CrFePb2 crystal.

calculated total energy = -5.7231 eV per atom
density of states at the Fermi level = 0.715 states/eV/atom
symmetry = P4/mmm
crystal system = tetragonal

a = 3.549 Å, b = 3.549 Å, c = 6.706 Å
α = 90.00°, β = 90.00°, γ = 90.00°
Element x y z (fractional)
Cr: 0.000 0.000 0.000
Fe: 0.000 0.000 0.500
Pb: 0.500 0.500 0.262
Pb: 0.500 0.500 0.738